(1)
A relaxed ZrPtN crystal. Source: Alexandria via LeMat-Bulk, functional PBE.

Lattice parameters (Å, degrees): 5.742 3.313 11.974 90.00 97.57 90.00
Positions (direct):
Zr 0.091 0.000 0.223
Zr 0.409 0.500 0.777
Zr 0.591 0.500 0.223
Zr 0.909 0.000 0.777
Pt 0.190 0.000 0.585
Pt 0.310 0.500 0.415
Pt 0.690 0.500 0.585
Pt 0.810 0.000 0.415
N 0.093 0.500 0.839
N 0.407 0.000 0.161
N 0.593 0.000 0.839
N 0.907 0.500 0.161

Computed properties:
**N(E_F)**: 1.960 states/eV/f.u.
**Formation energy without anion corrections**: -0.68 eV/atom

***

(2)
A relaxed Zr3PtN crystal. Source: Alexandria via LeMat-Bulk, functional PBE.

Lattice parameters (Å, degrees): 7.132 7.132 7.132 54.08 54.08 54.08
Positions (direct):
Zr 0.062 0.750 0.438
Zr 0.250 0.562 0.938
Zr 0.438 0.062 0.750
Zr 0.562 0.938 0.250
Zr 0.750 0.438 0.062
Zr 0.938 0.250 0.562
Pt 0.000 0.000 0.000
Pt 0.500 0.500 0.500
N 0.250 0.250 0.250
N 0.750 0.750 0.750

Computed properties:
**N(E_F)**: 5.760 states/eV/f.u.
**Formation energy without anion corrections**: -0.55 eV/atom

***

(3)
A relaxed Zr2Pt2N crystal. Source: Alexandria via LeMat-Bulk, functional PBE.

Lattice parameters (Å, degrees): 6.001 6.001 4.751 90.00 90.00 90.00
Positions (direct):
Zr 0.177 0.323 0.000
Zr 0.323 0.823 0.000
Zr 0.677 0.177 0.000
Zr 0.823 0.677 0.000
Pt 0.153 0.653 0.500
Pt 0.347 0.153 0.500
Pt 0.653 0.847 0.500
Pt 0.847 0.347 0.500
N 0.000 0.000 0.000
N 0.500 0.500 0.000

Computed properties:
**Energy above the lowest structure with this stoichiometry**: 0 meV per atom
**N(E_F)**: 3.113 states/eV/f.u.
**Formation energy without anion corrections**: -0.63 eV/atom

***

no.,total magnetization (μB/atom),electronic total energy (eV/atom)
1,0.000,-8.3204
2,0.000,-8.5501
3,0.000,-8.1327